Record 1
Ba3HPd8 | GGA-PBE | optimized geometry

Computed properties:
- calculated volume (Å³ per cell) = 775.0
- final energy (eV per formula unit) = -56.0
- crystal system = trigonal
- M_tot (μB/atom) = 0.0000

Cell lengths 5.7037, 5.7037, 27.5095 Å; angles 90.00, 90.00, 120.00 degrees
Space group R3m (No. 160, hexagonal axes)
Inequivalent atoms, fractional coordinates:
Ba 0.0000 0.0000 0.0000 [3 per cell]
Ba 0.0000 0.0000 0.1316 [3 per cell]
Ba 0.0000 0.0000 0.5246 [3 per cell]
H 0.0000 0.0000 0.7139 [3 per cell]
Pd 0.0000 0.0000 0.3198 [3 per cell]
Pd 0.0000 0.0000 0.8210 [3 per cell]
Pd 0.0087 0.5043 0.0705 [9 per cell]
Pd 0.1684 0.3367 0.9038 [9 per cell]

Record 2
BaH7Pd4 | GGA-PBE | optimized geometry

Computed properties:
- calculated volume (Å³ per cell) = 255.4
- final energy (eV per formula unit) = -49.1
- crystal system = orthorhombic
- M_tot (μB/atom) = 0.0000

Cell lengths 4.079, 4.101, 15.268 Å; angles 90.00, 90.00, 90.00 degrees
Space group Immm (No. 71)
Inequivalent atoms, fractional coordinates:
Ba 0.000 0.000 0.000 [2 per cell]
H 0.000 0.000 0.265 [4 per cell]
H 0.000 0.000 0.500 [2 per cell]
H 0.000 0.500 0.132 [4 per cell]
H 0.000 0.500 0.368 [4 per cell]
Pd 0.000 0.000 0.384 [4 per cell]
Pd 0.000 0.500 0.250 [4 per cell]

Record 3
Ba3H6Pd | GGA-PBE | optimized geometry

Computed properties:
- calculated volume (Å³ per cell) = 772.6
- final energy (eV per formula unit) = -35.5
- crystal system = orthorhombic
- M_tot (μB/atom) = 0.0000

Cell lengths 10.473, 13.276, 5.557 Å; angles 90.00, 90.00, 90.00 degrees
Space group Cmc2_1 (No. 36)
Inequivalent atoms, fractional coordinates:
Ba 0.000 0.113 0.000 [4 per cell]
Ba 0.184 0.386 0.963 [8 per cell]
H 0.000 0.280 0.755 [4 per cell]
H 0.000 0.434 0.369 [4 per cell]
H 0.136 0.245 0.306 [8 per cell]
H 0.158 0.006 0.730 [8 per cell]
Pd 0.000 0.303 0.440 [4 per cell]

Record 4
Ba2HPd4 | GGA-PBE | optimized geometry

Computed properties:
- calculated volume (Å³ per cell) = 313.3
- final energy (eV per formula unit) = -30.3
- crystal system = tetragonal
- M_tot (μB/atom) = 0.0000

Cell lengths 4.485, 4.485, 15.573 Å; angles 90.00, 90.00, 90.00 degrees
Space group I4/mmm (No. 139)
Inequivalent atoms, fractional coordinates:
Ba 0.000 0.000 0.153 [4 per cell]
H 0.000 0.000 0.500 [2 per cell]
Pd 0.000 0.000 0.386 [4 per cell]
Pd 0.000 0.500 0.000 [4 per cell]

Which value of M_tot does entry 1 give?
0.0000 μB/atom

Number 4 is which compound?
Ba2HPd4